Entry from Alexandria via LeMat-Bulk: a relaxed structure of ErFe2Ge2 (PBEsol).

```
ErFe2Ge2
1.0
-1.9653 1.9653 4.9102
1.9653 -1.9653 4.9102
1.9653 1.9653 -4.9102
Er Fe Ge
1 2 2
Direct
0.0000 0.0000 0.0000
0.2500 0.7500 0.5000
0.7500 0.2500 0.5000
0.3712 0.3712 0.0000
0.6288 0.6288 0.0000
```

Calculated values
Crystal system: tetragonal
ΔE_f: -2.6 eV/f.u.



Entry from Alexandria via LeMat-Bulk: a relaxed structure of MgSc2In (PBEsol).

```
MgSc2In
1.0
4.6713 0.0000 0.0000
0.0000 1.6476 5.8691
0.0000 -1.6476 5.8691
Mg Sc In
1 2 1
Direct
0.0000 0.0000 0.0000
0.0000 0.7441 0.7441
0.5000 0.3951 0.3951
0.5000 0.1409 0.1409
```

Calculated values
Crystal system: orthorhombic
ΔE_f: -1.0 eV/f.u.



Entry from Alexandria via LeMat-Bulk: a relaxed structure of SrLi3Tl (PBEsol).

```
SrLi3Tl
1.0
5.7856 0.0000 0.0000
0.0000 5.7856 0.0000
0.0000 0.0000 5.7856
Sr Li Tl
1 3 1
Direct
0.0000 0.0000 0.0000
0.0000 0.0000 0.5000
0.0000 0.5000 0.0000
0.5000 0.0000 0.0000
0.5000 0.5000 0.5000
```

Calculated values
Crystal system: cubic
ΔE_f: 3.9 eV/f.u.



Entry from Alexandria via LeMat-Bulk: a relaxed structure of CuPt3 (PBEsol).

```
CuPt3
1.0
4.7169 0.0000 0.0000
0.0000 8.9174 0.0000
0.0000 0.0000 5.4167
Cu Pt
4 12
Direct
0.0847 0.2500 0.1265
0.4153 0.7500 0.6265
0.5847 0.2500 0.3735
0.9153 0.7500 0.8735
0.0887 0.2500 0.6202
0.2477 0.5018 0.8738
0.2477 0.9982 0.8738
0.2523 0.0018 0.3738
0.2523 0.4982 0.3738
0.4113 0.7500 0.1202
0.5887 0.2500 0.8798
0.7477 0.5018 0.6262
0.7477 0.9982 0.6262
0.7523 0.0018 0.1262
0.7523 0.4982 0.1262
0.9113 0.7500 0.3798
```

Calculated values
Crystal system: orthorhombic
ΔE_f: -0.2 eV/f.u.



Entry from Alexandria via LeMat-Bulk: a relaxed structure of ZrRuAu (PBEsol).

```
ZrRuAu
1.0
3.2400 0.0000 0.0000
-1.6200 2.8059 0.0000
0.0000 0.0000 6.0177
Zr Ru Au
1 1 1
Direct
0.0000 0.0000 0.0000
0.6667 0.3333 0.2913
0.3333 0.6667 0.6412
```

Calculated values
Crystal system: trigonal
ΔE_f: -0.1 eV/f.u.



Entry from Alexandria via LeMat-Bulk: a relaxed structure of KSb2Os (PBEsol).

```
KSb2Os
1.0
4.5923 0.0000 0.0000
0.0000 4.5923 0.0000
0.0000 0.0000 4.0706
K Sb Os
1 2 1
Direct
0.0000 0.0000 0.0000
0.0000 0.5000 0.5000
0.5000 0.0000 0.5000
0.5000 0.5000 0.0000
```

Calculated values
Crystal system: tetragonal
Raw formation energy: 3.38 eV/f.u.